Record 1
# GGA-PBE SiHgP3, optimized geometry
data_SiHgP3
_chemical_formula_sum 'Si1 Hg1 P3'
_symmetry_space_group_name_H-M 'P m -3 m'
_symmetry_Int_Tables_number 221
_symmetry_space_group_name_Hall '-P 4 2 3'
_cell_length_a 4.585
_cell_length_b 4.585
_cell_length_c 4.585
_cell_angle_alpha 90.00
_cell_angle_beta 90.00
_cell_angle_gamma 90.00
loop_
_atom_site_label
_atom_site_fract_x
_atom_site_fract_y
_atom_site_fract_z
_atom_site_occupancy
Si1 0.000 0.000 0.000 1
Hg1 0.500 0.500 0.500 1
P1 0.000 0.000 0.500 1
# Fermi-level density of states	3.96	states/eV per cell
# distance to the lowest polymorph of the same formula	0.00	eV/f.u.
# ΔE_f (raw)	3.805	eV/f.u.
# electronic total energy	-3.630	eV/atom

=====

Record 2
# GGA-PBE YSb2TePd, optimized geometry
data_YSb2TePd
_chemical_formula_sum 'Y1 Sb2 Te1 Pd1'
_symmetry_space_group_name_H-M 'P 4/m m m'
_symmetry_Int_Tables_number 123
_symmetry_space_group_name_Hall '-P 4 2'
_cell_length_a 5.759
_cell_length_b 5.759
_cell_length_c 5.708
_cell_angle_alpha 90.00
_cell_angle_beta 90.00
_cell_angle_gamma 90.00
loop_
_atom_site_label
_atom_site_fract_x
_atom_site_fract_y
_atom_site_fract_z
_atom_site_occupancy
Y1 0.000 0.000 0.000 1
Sb1 0.000 0.500 0.000 1
Te1 0.000 0.000 0.500 1
Pd1 0.500 0.500 0.500 1
# Fermi-level density of states	3.99	states/eV per cell
# distance to the lowest polymorph of the same formula	3.31	eV/f.u.
# ΔE_f (raw)	2.677	eV/f.u.
# electronic total energy	-4.073	eV/atom

=====

Q: The highest electronic total energy belongs to which entry?
A: SiHgP3

=====

Q: What is the formula in the first record?
A: SiHgP3

=====

Q: Among the records above, which one has the lowest Fermi-level density of states?
A: SiHgP3

=====

Q: The lowest electronic total energy belongs to which entry?
A: YSb2TePd